VPd2Au, relaxed, DFT PBE-GGA; offset from the most stable computed form = 8.98 kcal/mol of atoms; energy relative to the elements = 0.193 eV per atom; total energy = -0.404 Ry per atom; M_tot = 1.78 μB per formula unit; space group = No. 122
1.0
7.070 0.000 0.000
0.000 7.070 0.000
3.535 3.535 2.735
Au Pd V
2 4 2
Direct
0.750 0.250 0.500 Au
0.000 0.000 0.000 Au
0.595 0.125 0.250 Pd
0.155 0.625 0.250 Pd
0.375 0.405 0.750 Pd
0.875 0.845 0.750 Pd
0.250 0.750 0.500 V
0.500 0.500 0.000 V



VPd3Au3, relaxed, DFT PBE-GGA; energy relative to the elements = -0.039 eV per atom; total energy = -0.365 Ry per atom; M_tot = 1.07 μB per formula unit; space group = No. 65
1.0
5.597 0.286 -0.001
0.299 5.596 -0.001
0.001 0.001 7.784
Pd V Au
6 2 6
Direct
0.500 0.000 0.769 Pd
0.000 0.000 0.772 Pd
0.000 0.000 0.228 Pd
0.000 0.500 0.769 Pd
0.500 0.000 0.231 Pd
0.000 0.500 0.231 Pd
0.781 0.781 0.000 V
0.219 0.219 0.000 V
0.310 0.690 0.000 Au
0.690 0.310 0.000 Au
0.250 0.250 0.500 Au
0.750 0.750 0.500 Au
0.742 0.258 0.500 Au
0.258 0.742 0.500 Au



V9Pd11Au4, relaxed, DFT PBE-GGA; energy relative to the elements = -0.116 eV per atom; total energy = -0.475 Ry per atom; M_tot = 2.56 μB per formula unit; space group = No. 65
1.0
-2.246 0.722 1.402
-6.581 -3.382 -8.803
-0.549 -10.545 4.556
Au Pd V
4 11 9
Direct
0.500 0.549 0.723 Au
0.500 0.723 0.549 Au
0.500 0.451 0.277 Au
0.500 0.277 0.451 Au
0.000 0.662 0.338 Pd
0.000 0.231 0.231 Pd
0.000 0.169 0.831 Pd
0.000 0.831 0.169 Pd
0.000 0.936 0.596 Pd
0.000 0.596 0.936 Pd
0.000 0.404 0.064 Pd
0.000 0.769 0.769 Pd
0.000 0.000 0.000 Pd
0.000 0.064 0.404 Pd
0.000 0.338 0.662 Pd
0.500 0.037 0.201 V
0.500 0.500 0.500 V
0.500 0.630 0.127 V
0.500 0.963 0.799 V
0.500 0.370 0.873 V
0.500 0.799 0.963 V
0.500 0.127 0.630 V
0.500 0.873 0.370 V
0.500 0.201 0.037 V



VPd2Au, relaxed, DFT PBE-GGA; offset from the most stable computed form = 2.96 kcal/mol of atoms; energy relative to the elements = -0.068 eV per atom; total energy = -0.424 Ry per atom; M_tot = 2.20 μB per formula unit; space group = No. 225
1.0
-3.410 -1.126 2.676
-3.277 -2.637 -1.538
-0.379 -4.204 1.495
Pd Au V
2 1 1
Direct
0.250 0.250 0.250 Pd
0.750 0.750 0.750 Pd
0.500 0.500 0.500 Au
0.000 0.000 0.000 V



VPd2Au4, relaxed, DFT PBE-GGA; offset from the most stable computed form = 0.00 kcal/mol of atoms; energy relative to the elements = 0.042 eV per atom; total energy = -0.339 Ry per atom; M_tot = 2.19 μB per formula unit; space group = No. 11
1.0
6.887 0.000 -0.521
0.000 5.329 0.000
-3.188 0.000 6.885
Pd Au V
4 8 2
Direct
0.197 0.250 0.001 Pd
0.803 0.750 0.999 Pd
0.543 0.750 0.543 Pd
0.457 0.250 0.457 Pd
0.616 0.998 0.222 Au
0.384 0.002 0.778 Au
0.002 0.250 0.235 Au
0.065 0.750 0.417 Au
0.998 0.750 0.765 Au
0.935 0.250 0.583 Au
0.384 0.498 0.778 Au
0.616 0.502 0.222 Au
0.239 0.750 0.169 V
0.761 0.250 0.831 V



VPd3Au4, relaxed, DFT PBE-GGA; offset from the most stable computed form = 0.23 kcal/mol of atoms; energy relative to the elements = 0.126 eV per atom; total energy = -0.338 Ry per atom; M_tot = 1.24 μB per formula unit; space group = No. 12
1.0
2.801 0.000 0.001
0.000 4.171 -0.953
0.004 0.538 11.960
Pd Au V
3 4 1
Direct
0.500 0.000 0.000 Pd
0.999 0.157 0.314 Pd
0.001 0.843 0.686 Pd
0.502 0.286 0.572 Au
0.500 0.405 0.809 Au
0.500 0.595 0.191 Au
0.498 0.714 0.428 Au
0.000 0.500 0.000 V



V2Pd2Au3, relaxed, DFT PBE-GGA; energy relative to the elements = -0.020 eV per atom; total energy = -0.405 Ry per atom; M_tot = 0.00 μB per formula unit; space group = No. 65
1.0
-2.303 -1.585 0.303
1.471 -1.847 1.525
-2.222 7.981 11.816
Pd V Au
2 2 3
Direct
0.153 0.000 0.306 Pd
0.847 0.000 0.694 Pd
0.714 0.500 0.429 V
0.286 0.500 0.571 V
0.423 0.500 0.845 Au
0.000 0.000 0.000 Au
0.577 0.500 0.155 Au



V2Pd2Au, relaxed, DFT PBE-GGA; offset from the most stable computed form = 1.23 kcal/mol of atoms; energy relative to the elements = -0.006 eV per atom; total energy = -0.469 Ry per atom; M_tot = 0.00 μB per formula unit; space group = No. 127
1.0
-4.493 -4.712 3.743
1.154 -5.259 -5.236
2.168 -0.938 1.420
Au V Pd
2 4 4
Direct
0.000 0.000 0.000 Au
0.500 0.500 0.000 Au
0.111 0.389 0.000 V
0.389 0.889 0.000 V
0.611 0.111 0.000 V
0.889 0.611 0.000 V
0.679 0.821 0.500 Pd
0.179 0.679 0.500 Pd
0.321 0.179 0.500 Pd
0.821 0.321 0.500 Pd



VPd8Au3, relaxed, DFT PBE-GGA; energy relative to the elements = 0.275 eV per atom; total energy = -0.350 Ry per atom; M_tot = 0.00 μB per formula unit; space group = No. 121
1.0
6.880 -0.406 -0.645
-3.096 6.158 0.645
-3.096 -2.085 5.830
Au Pd V
3 8 1
Direct
0.000 0.500 0.500 Au
0.500 0.750 0.250 Au
0.500 0.250 0.750 Au
0.000 0.658 0.934 Pd
0.725 0.066 0.066 Pd
0.460 0.166 0.166 Pd
0.540 0.706 0.706 Pd
0.000 0.834 0.294 Pd
0.000 0.294 0.834 Pd
0.000 0.934 0.658 Pd
0.275 0.342 0.342 Pd
0.000 0.000 0.000 V



V2Pd9Au3, relaxed, DFT PBE-GGA; energy relative to the elements = -0.062 eV per atom; total energy = -0.397 Ry per atom; M_tot = 2.40 μB per formula unit; space group = No. 12
1.0
2.795 0.001 0.546
1.041 8.732 2.133
-0.264 -1.985 8.825
Pd V Au
9 2 3
Direct
0.829 0.837 0.503 Pd
0.610 0.733 0.045 Pd
0.390 0.955 0.267 Pd
0.390 0.267 0.955 Pd
0.171 0.163 0.497 Pd
0.829 0.503 0.837 Pd
0.171 0.497 0.163 Pd
0.000 0.500 0.500 Pd
0.610 0.045 0.733 Pd
0.500 0.682 0.318 V
0.500 0.318 0.682 V
0.239 0.760 0.760 Au
0.761 0.240 0.240 Au
0.000 0.000 0.000 Au